First-principles (PBE) data for crystalline KYFe3 at its relaxed geometry, as listed in Alexandria.

a = 4.745 Å, b = 4.745 Å, c = 4.745 Å
α = 90.00°, β = 90.00°, γ = 90.00°
Space group Pm-3m (No. 221)
Asymmetric unit:
K (0.000, 0.000, 0.000) [1 per cell]
Y (0.500, 0.500, 0.500) [1 per cell]
Fe (0.000, 0.000, 0.500) [3 per cell]

* VASP energy: -23.37 eV/cell
* density of states at the Fermi level: 8.11 states/eV/f.u.
* energy relative to the lowest polymorph listed for this composition: 349.1 meV per atom
* calculated formation energy: 1.92 eV/atom
* crystal system: cubic

---

First-principles (PBE) data for crystalline KZn2Fe at its relaxed geometry, as listed in Alexandria.

a = 2.8497 Å, b = 2.8497 Å, c = 31.0655 Å
α = 90.00°, β = 90.00°, γ = 120.00°
Space group R3m (No. 160, hexagonal axes)
Asymmetric unit:
K (0.0000, 0.0000, 0.0000) [3 per cell]
Zn (0.0000, 0.0000, 0.2370) [3 per cell]
Zn (0.0000, 0.0000, 0.4914) [3 per cell]
Fe (0.0000, 0.0000, 0.7594) [3 per cell]

* VASP energy: -29.13 eV/cell
* density of states at the Fermi level: 1.70 states/eV/f.u.
* energy relative to the lowest polymorph listed for this composition: 266.8 meV per atom
* calculated formation energy: 0.60 eV/atom
* crystal system: trigonal

---

First-principles (PBE) data for crystalline K2ZnFe at its relaxed geometry, as listed in Alexandria.

a = 3.4335 Å, b = 3.4335 Å, c = 34.8762 Å
α = 90.00°, β = 90.00°, γ = 120.00°
Space group R-3m (No. 166, hexagonal axes)
Asymmetric unit:
K (0.0000, 0.0000, 0.2463) [6 per cell]
Zn (0.0000, 0.0000, 0.0000) [3 per cell]
Fe (0.0000, 0.0000, 0.5000) [3 per cell]

* VASP energy: -24.69 eV/cell
* density of states at the Fermi level: 5.58 states/eV/f.u.
* calculated formation energy: 0.93 eV/atom
* crystal system: trigonal

---

First-principles (PBE) data for crystalline K2ZnFe at its relaxed geometry, as listed in Alexandria.

a = 5.465 Å, b = 5.465 Å, c = 7.710 Å
α = 90.00°, β = 90.00°, γ = 90.00°
Space group I-4m2 (No. 119)
Asymmetric unit:
K (0.000, 0.000, 0.000) [2 per cell]
K (0.000, 0.500, 0.250) [2 per cell]
Zn (0.000, 0.500, 0.750) [2 per cell]
Fe (0.000, 0.000, 0.500) [2 per cell]

* VASP energy: -17.17 eV/cell
* density of states at the Fermi level: 5.04 states/eV/f.u.
* calculated formation energy: 0.84 eV/atom
* crystal system: tetragonal

---

First-principles (PBE) data for crystalline KZn2Fe at its relaxed geometry, as listed in Alexandria.

a = 3.372 Å, b = 3.372 Å, c = 7.882 Å
α = 90.00°, β = 90.00°, γ = 90.00°
Space group P4mm (No. 99)
Asymmetric unit:
K (0.000, 0.000, 0.000) [1 per cell]
Zn (0.000, 0.000, 0.553) [1 per cell]
Zn (0.500, 0.500, 0.331) [1 per cell]
Fe (0.500, 0.500, 0.647) [1 per cell]

* VASP energy: -10.23 eV/cell
* density of states at the Fermi level: 3.83 states/eV/f.u.
* energy relative to the lowest polymorph listed for this composition: 137.4 meV per atom
* calculated formation energy: 0.47 eV/atom
* crystal system: tetragonal

---

First-principles (PBE) data for crystalline KZn2Fe at its relaxed geometry, as listed in Alexandria.

a = 2.770 Å, b = 5.218 Å, c = 5.220 Å
α = 89.63°, β = 89.98°, γ = 89.80°
Space group P-1 (No. 2)
Asymmetric unit:
K (0.000, 0.000, 0.000) [1 per cell]
Zn (0.500, 0.000, 0.500) [1 per cell]
Zn (0.500, 0.500, 0.000) [1 per cell]
Fe (0.000, 0.500, 0.500) [1 per cell]

* VASP energy: -9.56 eV/cell
* density of states at the Fermi level: 2.64 states/eV/f.u.
* energy relative to the lowest polymorph listed for this composition: 305.7 meV per atom
* calculated formation energy: 0.64 eV/atom
* crystal system: triclinic

---

- Which value of VASP energy does entry 2 give?
  -29.13 eV/cell

---

- The lowest calculated formation energy belongs to which entry?
  number 5